First-principles (PBE) data for a geometry-optimized Sm8P4Se3 structure, as listed in Alexandria via LeMat-Bulk.

Lattice parameters (Å, degrees): 8.2337 8.2337 8.2227 119.86 119.86 90.12
Positions (direct):
Sm (0.2361, 0.2361, 0.9845)
Sm (0.2420, 0.2420, 0.4901)
Sm (0.2431, 0.7569, 0.0000)
Sm (0.2440, 0.7560, 0.5000)
Sm (0.7560, 0.2440, 0.5000)
Sm (0.7569, 0.2431, 0.0000)
Sm (0.7580, 0.7580, 0.5099)
Sm (0.7639, 0.7639, 0.0155)
P (0.0000, 0.0000, 0.0000)
P (0.0000, 0.0000, 0.5000)
P (0.0000, 0.5000, 0.5000)
P (0.5000, 0.0000, 0.5000)
Se (0.0000, 0.5000, 0.0000)
Se (0.5000, 0.0000, 0.0000)
Se (0.5000, 0.5000, 0.0000)

Summary:
Raw formation energy (eV/atom): -1.6113
Crystal system: monoclinic
Calculated total energy (eV/atom): -6.268

=====

First-principles (PBE) data for a geometry-optimized ErHfGaNi structure, as listed in Alexandria via LeMat-Bulk.

Lattice parameters (Å, degrees): 4.7482 4.7482 4.7482 60.00 60.00 60.00
Positions (direct):
Er (0.0000, 0.0000, 0.0000)
Hf (0.5000, 0.5000, 0.5000)
Ga (0.7500, 0.7500, 0.7500)
Ni (0.2500, 0.2500, 0.2500)

Summary:
Crystal system: cubic
Calculated total energy (eV/atom): -6.173
ΔE_f (eV/atom): -0.342

=====

First-principles (PBE) data for a geometry-optimized ZnCuOs2 structure, as listed in Alexandria via LeMat-Bulk.

Lattice parameters (Å, degrees): 4.4895 4.4895 4.4895 127.80 127.80 76.95
Positions (direct):
Zn (0.0000, 0.0000, 0.0000)
Cu (0.2500, 0.7500, 0.5000)
Os (0.5000, 0.5000, 0.0000)
Os (0.7500, 0.2500, 0.5000)

Summary:
Crystal system: tetragonal
Calculated total energy (eV/atom): -6.662
ΔE_f (eV/atom): 0.296